First-principles (PBE) data for an optimized crystal structure of FeTc2Ir, as listed in Alexandria.

Geometry as CIF:
```
data_FeTc2Ir
_chemical_formula_sum 'Fe1 Tc2 Ir1'
_space_group_name_H-M_alt 'P 1'
_space_group_IT_number 1
_cell_length_a 8.803
_cell_length_b 8.803
_cell_length_c 8.803
_cell_angle_alpha 17.72
_cell_angle_beta 17.72
_cell_angle_gamma 17.72
loop_
_space_group_symop_operation_xyz
'x,y,z'
loop_
_atom_site_label
_atom_site_fract_x
_atom_site_fract_y
_atom_site_fract_z
Tc1 0.503 0.503 0.503
Tc2 0.997 0.997 0.997
Ir1 0.750 0.750 0.750
Fe1 0.250 0.250 0.250
```

**Formation enthalpy at 0 K**: 0.05 eV per atom
**Calculated total energy**: -9.46 eV per atom
**Excess energy over the best structure of this formula in the dataset**: 100 meV per atom
**Magnetic moment**: 0.319 μB per atom



First-principles (PBE) data for an optimized crystal structure of CeErPuHg, as listed in Alexandria.

Geometry as CIF:
```
data_CeErPuHg
_chemical_formula_sum 'Ce1 Er1 Pu1 Hg1'
_space_group_name_H-M_alt 'P 1'
_space_group_IT_number 1
_cell_length_a 5.312
_cell_length_b 5.312
_cell_length_c 5.312
_cell_angle_alpha 60.00
_cell_angle_beta 60.00
_cell_angle_gamma 60.00
loop_
_space_group_symop_operation_xyz
'x,y,z'
loop_
_atom_site_label
_atom_site_fract_x
_atom_site_fract_y
_atom_site_fract_z
Ce1 0.250 0.250 0.250
Hg1 0.500 0.500 0.500
Pu1 0.000 0.000 0.000
Er1 0.750 0.750 0.750
```

**Formation enthalpy at 0 K**: -0.03 eV per atom
**Calculated total energy**: -6.32 eV per atom
**Magnetic moment**: 2.228 μB per atom



First-principles (PBE) data for an optimized crystal structure of Ba2ErAuO4, as listed in Alexandria.

Geometry as CIF:
```
data_Ba2ErAuO4
_chemical_formula_sum 'Ba2 Er1 Au1 O4'
_space_group_name_H-M_alt 'P 1'
_space_group_IT_number 1
_cell_length_a 6.735
_cell_length_b 6.735
_cell_length_c 6.735
_cell_angle_alpha 73.52
_cell_angle_beta 129.93
_cell_angle_gamma 129.93
loop_
_space_group_symop_operation_xyz
'x,y,z'
loop_
_atom_site_label
_atom_site_fract_x
_atom_site_fract_y
_atom_site_fract_z
Ba1 0.000 0.000 0.000
Ba2 0.500 0.750 0.250
O1 0.516 0.363 0.428
O2 0.935 0.572 0.088
O3 0.484 0.912 0.847
O4 0.065 0.153 0.637
Au1 0.000 0.500 0.500
Er1 0.500 0.250 0.750
```

**Calculated total energy**: -6.07 eV per atom
**E_form (uncorrected)**: -2126 meV per atom
**Magnetic moment**: 0.000 μB per atom



Question: calculated total energy of number 2 (CeErPuHg)?
Answer: -6.32 eV per atom



Copy entry 1 word for word.
First-principles (PBE) data for an optimized crystal structure of FeTc2Ir, as listed in Alexandria.

Geometry as CIF:
```
data_FeTc2Ir
_chemical_formula_sum 'Fe1 Tc2 Ir1'
_space_group_name_H-M_alt 'P 1'
_space_group_IT_number 1
_cell_length_a 8.803
_cell_length_b 8.803
_cell_length_c 8.803
_cell_angle_alpha 17.72
_cell_angle_beta 17.72
_cell_angle_gamma 17.72
loop_
_space_group_symop_operation_xyz
'x,y,z'
loop_
_atom_site_label
_atom_site_fract_x
_atom_site_fract_y
_atom_site_fract_z
Tc1 0.503 0.503 0.503
Tc2 0.997 0.997 0.997
Ir1 0.750 0.750 0.750
Fe1 0.250 0.250 0.250
```

**Formation enthalpy at 0 K**: 0.05 eV per atom
**Calculated total energy**: -9.46 eV per atom
**Excess energy over the best structure of this formula in the dataset**: 100 meV per atom
**Magnetic moment**: 0.319 μB per atom